A relaxed structure of InGa2CoCl, computed with GGA-PBEsol.

The structure in POSCAR format:
```
InGa2CoCl
1.0
5.245 0.000 0.000
0.000 5.245 0.000
0.000 0.000 3.996
In Ga Co Cl
1 2 1 1
Direct
0.000 0.000 0.000 In
0.000 0.500 0.500 Ga
0.500 0.000 0.500 Ga
0.500 0.500 0.000 Co
0.500 0.500 0.500 Cl
```

VASP energy = -16.95 eV per cell